A relaxed TiV5Co2 crystal, computed with GGA-PBE.

```
data_TiV5Co2
_cell_length_a 2.7573
_cell_length_b 7.1278
_cell_length_c 10.8889
_cell_angle_alpha 90.00
_cell_angle_beta 90.00
_cell_angle_gamma 90.00
_symmetry_space_group_name_H-M 'P 1'
_symmetry_Int_Tables_number 1
loop_
_symmetry_equiv_pos_as_xyz
'x,y,z'
loop_
_atom_site_label
_atom_site_type_symbol
_atom_site_fract_x
_atom_site_fract_y
_atom_site_fract_z
Ti1 Ti 0.0000 0.0000 0.0000
Ti2 Ti 0.5000 0.5000 0.5000
V1 V 0.0000 0.2194 0.3648
V2 V 0.0000 0.2194 0.6352
V3 V 0.0000 0.5000 0.0000
V4 V 0.0000 0.7806 0.3648
V5 V 0.0000 0.7806 0.6352
V6 V 0.5000 0.0000 0.5000
V7 V 0.5000 0.2806 0.1352
V8 V 0.5000 0.2806 0.8648
V9 V 0.5000 0.7194 0.1352
V10 V 0.5000 0.7194 0.8648
Co1 Co 0.0000 0.5000 0.2627
Co2 Co 0.0000 0.5000 0.7373
Co3 Co 0.5000 0.0000 0.2373
Co4 Co 0.5000 0.0000 0.7627
```

Summary:
**Total moment**: 0.00 μB/cell
**VASP energy**: -134.48 eV for the cell shown

***

A relaxed BaLi2Au2 crystal, computed with GGA-PBE.

```
data_BaLi2Au2
_cell_length_a 4.3690
_cell_length_b 4.3690
_cell_length_c 6.3472
_cell_angle_alpha 90.00
_cell_angle_beta 90.00
_cell_angle_gamma 90.00
_symmetry_space_group_name_H-M 'P 1'
_symmetry_Int_Tables_number 1
loop_
_symmetry_equiv_pos_as_xyz
'x,y,z'
loop_
_atom_site_label
_atom_site_type_symbol
_atom_site_fract_x
_atom_site_fract_y
_atom_site_fract_z
Ba1 Ba 0.0000 0.0000 0.0000
Li1 Li 0.0000 0.5000 0.5000
Li2 Li 0.5000 0.0000 0.5000
Au1 Au 0.5000 0.5000 0.2477
Au2 Au 0.5000 0.5000 0.7523
```

Summary:
**Energy relative to the lowest polymorph listed for this composition**: 11.9 meV/atom
**Total moment**: 0.00 μB/cell
**VASP energy**: -15.11 eV for the cell shown

***

A relaxed Dy5Er6 crystal, computed with GGA-PBE.

```
data_Dy5Er6
_cell_length_a 7.8499
_cell_length_b 7.8499
_cell_length_c 6.2562
_cell_angle_alpha 99.82
_cell_angle_beta 99.82
_cell_angle_gamma 110.22
_symmetry_space_group_name_H-M 'P 1'
_symmetry_Int_Tables_number 1
loop_
_symmetry_equiv_pos_as_xyz
'x,y,z'
loop_
_atom_site_label
_atom_site_type_symbol
_atom_site_fract_x
_atom_site_fract_y
_atom_site_fract_z
Dy1 Dy 0.0000 0.0000 0.0000
Dy2 Dy 0.1289 0.8711 0.5000
Dy3 Dy 0.2595 0.7405 0.0000
Dy4 Dy 0.7405 0.2595 0.0000
Dy5 Dy 0.8711 0.1289 0.5000
Er1 Er 0.1899 0.4531 0.3291
Er2 Er 0.3351 0.3351 0.8128
Er3 Er 0.4531 0.1899 0.3291
Er4 Er 0.5469 0.8101 0.6709
Er5 Er 0.6649 0.6649 0.1872
Er6 Er 0.8101 0.5469 0.6709
```

Summary:
**Total moment**: 0.00 μB/cell
**VASP energy**: -48.82 eV for the cell shown

***

A relaxed K2MgTeC crystal, computed with GGA-PBE.

```
data_K2MgTeC
_cell_length_a 6.9358
_cell_length_b 6.9358
_cell_length_c 5.3101
_cell_angle_alpha 90.00
_cell_angle_beta 90.00
_cell_angle_gamma 90.00
_symmetry_space_group_name_H-M 'P 1'
_symmetry_Int_Tables_number 1
loop_
_symmetry_equiv_pos_as_xyz
'x,y,z'
loop_
_atom_site_label
_atom_site_type_symbol
_atom_site_fract_x
_atom_site_fract_y
_atom_site_fract_z
K1 K 0.0000 0.5000 0.0000
K2 K 0.5000 0.0000 0.0000
Mg1 Mg 0.0000 0.0000 0.0000
Te1 Te 0.0000 0.0000 0.5000
C1 C 0.5000 0.5000 0.5000
```

Summary:
**Total moment**: 2.85 μB/cell
**VASP energy**: -10.90 eV for the cell shown

***

> Which formula does entry 3 have?

Dy5Er6

***

> What is the VASP energy in the second record?

-15.11 eV for the cell shown